Entry 1:
LiTbSmCd after structural relaxation. Source: Alexandria, functional PBE.

Properties
DFT formation energy: -0.47 eV/f.u.
DOS(E_F): 5.795 states/eV/cell

Cell lengths 5.3195, 5.3195, 5.3195 Å; angles 60.00, 60.00, 60.00 degrees
Last column: nearest neighbours and their distance in Å.
Fractional positions:
1 Li 0.2500 0.2500 0.2500  4 Tb 3.26, 4 Sm 3.26
2 Tb 0.5000 0.5000 0.5000  4 Cd 3.26, 4 Li 3.26
3 Sm 0.0000 0.0000 0.0000  4 Li 3.26, 4 Cd 3.26
4 Cd 0.7500 0.7500 0.7500  4 Tb 3.26, 4 Sm 3.26

---

Entry 2:
YAl2Te after structural relaxation. Source: Alexandria, functional PBE.

Properties
DOS(E_F): 2.471 states/eV/cell
E_form (uncorrected): -0.30 eV per atom

Cell lengths 3.8486, 4.7973, 6.2067 Å; angles 56.16, 90.00, 90.00 degrees
Last column: nearest neighbours and their distance in Å.
Fractional positions:
1 Y 0.0000 0.0000 0.5000  4 Te 3.08, 6 Al 3.10-3.29
2 Te 0.5000 0.5000 0.5000  4 Y 3.08, 6 Al 3.10-3.29
3 Al 0.0000 0.0000 0.0000  4 Al 3.08, 2 Y 3.10, 4 Te 3.29
4 Al 0.5000 0.5000 0.0000  4 Al 3.08, 2 Te 3.10, 4 Y 3.29

---

Entry 3:
Tb6Pm7Nd16 after structural relaxation. Source: Alexandria, functional PBE.

Properties
DFT formation energy: 6.33 eV/f.u.
DOS(E_F): 38.601 states/eV/cell

Cell lengths 11.3969, 11.3969, 11.3969 Å; angles 60.00, 60.00, 60.00 degrees
Last column: nearest neighbours and their distance in Å.
Fractional positions:
1 Tb 0.2660 0.7340 0.2660  8 Nd 3.65-3.69, 4 Pm 4.04
2 Tb 0.7340 0.2660 0.7340  8 Nd 3.65-3.69, 4 Pm 4.04
3 Tb 0.7340 0.2660 0.2660  8 Nd 3.65-3.69, 4 Pm 4.04
4 Tb 0.2660 0.7340 0.7340  8 Nd 3.65-3.69, 4 Pm 4.04
5 Tb 0.7340 0.7340 0.2660  8 Nd 3.65-3.69, 4 Pm 4.04
6 Tb 0.2660 0.2660 0.7340  8 Nd 3.65-3.69, 4 Pm 4.04
7 Pm 0.0000 0.0000 0.0000  8 Nd 3.51
8 Pm 0.5000 0.0000 0.5000  8 Nd 3.32-3.48
9 Pm 0.0000 0.5000 0.0000  8 Nd 3.32-3.48
10 Pm 0.0000 0.5000 0.5000  8 Nd 3.32-3.48
11 Pm 0.5000 0.0000 0.0000  8 Nd 3.32-3.48
12 Pm 0.0000 0.0000 0.5000  8 Nd 3.32-3.48
13 Pm 0.5000 0.5000 0.0000  8 Nd 3.32-3.48
14 Nd 0.8744 0.8744 0.3768  4 Pm 3.48-3.51, 3 Tb 3.65, 3 Nd 3.65
15 Nd 0.8744 0.8744 0.8744  4 Pm 3.48-3.51, 3 Tb 3.65, 3 Nd 3.65
16 Nd 0.8744 0.3768 0.8744  4 Pm 3.48-3.51, 3 Tb 3.65, 3 Nd 3.65
17 Nd 0.3768 0.8744 0.8744  4 Pm 3.48-3.51, 3 Tb 3.65, 3 Nd 3.65
18 Nd 0.1256 0.1256 0.1256  4 Pm 3.48-3.51, 3 Tb 3.65, 3 Nd 3.65
19 Nd 0.1256 0.1256 0.6232  4 Pm 3.48-3.51, 3 Tb 3.65, 3 Nd 3.65
20 Nd 0.1256 0.6232 0.1256  4 Pm 3.48-3.51, 3 Tb 3.65, 3 Nd 3.65
21 Nd 0.6232 0.1256 0.1256  4 Pm 3.48-3.51, 3 Tb 3.65, 3 Nd 3.65
22 Nd 0.6507 0.6507 0.0480  3 Pm 3.32, 3 Nd 3.65, 3 Tb 3.69
23 Nd 0.6507 0.6507 0.6507  3 Pm 3.32, 3 Nd 3.65, 3 Tb 3.69
24 Nd 0.6507 0.0480 0.6507  3 Pm 3.32, 3 Nd 3.65, 3 Tb 3.69
25 Nd 0.0480 0.6507 0.6507  3 Pm 3.32, 3 Nd 3.65, 3 Tb 3.69
26 Nd 0.3493 0.3493 0.3493  3 Pm 3.32, 3 Nd 3.65, 3 Tb 3.69
27 Nd 0.3493 0.3493 0.9520  3 Pm 3.32, 3 Nd 3.65, 3 Tb 3.69
28 Nd 0.3493 0.9520 0.3493  3 Pm 3.32, 3 Nd 3.65, 3 Tb 3.69
29 Nd 0.9520 0.3493 0.3493  3 Pm 3.32, 3 Nd 3.65, 3 Tb 3.69

---

Entry 4:
Dy6OsSe5 after structural relaxation. Source: Alexandria, functional PBE.

Properties
DOS(E_F): 9.392 states/eV/cell
E_form (uncorrected): -1.51 eV per atom

Cell lengths 7.1250, 7.1645, 7.1650 Å; angles 60.00, 80.37, 70.45 degrees
Last column: nearest neighbours and their distance in Å.
Fractional positions:
1 Os 0.0000 0.0000 0.0000  6 Dy 2.72
2 Se 0.5000 0.1753 0.6494  6 Dy 2.92-3.05
3 Se 0.0000 0.3351 0.3298  6 Dy 2.93-2.94
4 Se 0.5000 0.5000 0.0000  6 Dy 2.93-3.12
5 Se 0.0000 0.6649 0.6702  6 Dy 2.93-2.94
6 Se 0.5000 0.8247 0.3506  6 Dy 2.92-3.05
7 Dy 0.7664 0.0767 0.3105  1 Os 2.72, 4 Se 2.92-2.94
8 Dy 0.2336 0.6129 0.3105  1 Os 2.72, 4 Se 2.92-2.94
9 Dy 0.2361 0.2292 0.0000  1 Os 2.72, 4 Se 2.93-2.98
10 Dy 0.7639 0.7708 0.0000  1 Os 2.72, 4 Se 2.93-2.98
11 Dy 0.7664 0.3871 0.6895  1 Os 2.72, 4 Se 2.92-2.94
12 Dy 0.2336 0.9233 0.6895  1 Os 2.72, 4 Se 2.92-2.94

---

Entry 5:
YErAlCd after structural relaxation. Source: Alexandria, functional PBE.

Properties
DFT formation energy: -1.46 eV/f.u.
DOS(E_F): 3.352 states/eV/cell
Offset from the most stable computed form: 13.4 meV/atom

Cell lengths 5.1823, 5.1823, 5.1823 Å; angles 60.00, 60.00, 60.00 degrees
Last column: nearest neighbours and their distance in Å.
Fractional positions:
1 Y 0.7500 0.7500 0.7500  4 Al 3.17, 4 Cd 3.17
2 Cd 0.0000 0.0000 0.0000  4 Y 3.17, 4 Er 3.17
3 Al 0.5000 0.5000 0.5000  4 Er 3.17, 4 Y 3.17
4 Er 0.2500 0.2500 0.2500  4 Cd 3.17, 4 Al 3.17

---

Entry 6:
MoRuRh after structural relaxation. Source: Alexandria, functional PBE.

Properties
DFT formation energy: 0.16 eV/f.u.
DOS(E_F): 3.799 states/eV/cell
Offset from the most stable computed form: 163.1 meV/atom

Cell lengths 4.3374, 4.3374, 2.7424 Å; angles 90.00, 90.00, 120.00 degrees
Last column: nearest neighbours and their distance in Å.
Fractional positions:
1 Mo 0.0000 0.0000 0.8330  3 Ru 2.50, 2 Mo 2.74
2 Rh 0.3333 0.6667 0.3336  2 Rh 2.74, 6 Mo 2.85-2.86, 6 Ru 2.85-2.86
3 Ru 0.6667 0.3333 0.8334  3 Mo 2.50, 2 Ru 2.74

---

Entry 7:
InIrRu2 after structural relaxation. Source: Alexandria, functional PBE.

Properties
DFT formation energy: 1.04 eV/f.u.
DOS(E_F): 4.452 states/eV/cell

Cell lengths 9.1107, 9.1107, 9.1107 Å; angles 17.89, 17.89, 17.89 degrees
Last column: nearest neighbours and their distance in Å.
Fractional positions:
1 In 0.2500 0.2500 0.2500  6 In 2.83, 6 Ru 2.86
2 Ir 0.7500 0.7500 0.7500  6 Ru 2.69, 6 Ir 2.83
3 Ru 0.0037 0.0037 0.0037  3 Ir 2.69, 6 Ru 2.83, 3 In 2.86
4 Ru 0.4963 0.4963 0.4963  3 Ir 2.69, 6 Ru 2.83, 3 In 2.86

---

Entry 8:
CaUIn2O8 after structural relaxation. Source: Alexandria, functional PBE.

Properties
DOS(E_F): 0.000 states/eV/cell
E_form (uncorrected): -2.06 eV per atom

Cell lengths 5.4124, 4.4022, 6.9585 Å; angles 90.01, 90.00, 86.82 degrees
Last column: nearest neighbours and their distance in Å.
Fractional positions:
1 Ca 0.0000 0.0000 0.5000  6 O 2.30-2.46
2 U 0.0000 0.0000 0.0000  6 O 2.09-2.13
3 In 0.5000 0.5000 0.7651  4 O 2.11-2.21
4 In 0.5000 0.5000 0.2349  4 O 2.11-2.21
5 O 0.1596 0.7592 0.2311  1 U 2.09, 1 In 2.11, 1 Ca 2.30
6 O 0.6781 0.7434 0.0000  1 U 2.13, 2 In 2.21
7 O 0.8404 0.2409 0.2311  1 U 2.09, 1 In 2.11, 1 Ca 2.30
8 O 0.8404 0.2408 0.7689  1 U 2.09, 1 In 2.11, 1 Ca 2.30
9 O 0.3219 0.2566 0.0000  1 U 2.13, 2 In 2.21
10 O 0.1596 0.7591 0.7689  1 U 2.09, 1 In 2.11, 1 Ca 2.30
11 O 0.5704 0.8455 0.5000  1 O 1.52
12 O 0.4296 0.1545 0.5000  1 O 1.52

---

Entry 9:
SrRhCl after structural relaxation. Source: Alexandria, functional PBE.

Properties
DOS(E_F): 1.215 states/eV/cell
E_form (uncorrected): -0.76 eV per atom
Offset from the most stable computed form: 436.5 meV/atom

Cell lengths 5.9228, 5.7863, 8.0734 Å; angles 90.00, 90.00, 90.00 degrees
Last column: nearest neighbours and their distance in Å.
Fractional positions:
1 Sr 0.7538 0.2500 0.5848  4 Cl 2.94-3.09, 2 Rh 3.08-3.09
2 Sr 0.7462 0.7500 0.0848  4 Cl 2.94-3.09, 2 Rh 3.08-3.09
3 Sr 0.2462 0.7500 0.4152  4 Cl 2.94-3.09, 2 Rh 3.08-3.09
4 Sr 0.2538 0.2500 0.9152  4 Cl 2.94-3.09, 2 Rh 3.08-3.09
5 Rh 0.0041 0.2500 0.2507  2 Cl 2.36
6 Rh 0.4959 0.7500 0.7507  2 Cl 2.36
7 Rh 0.9959 0.7500 0.7493  2 Cl 2.36
8 Rh 0.5041 0.2500 0.2493  2 Cl 2.36
9 Cl 0.7550 0.2500 0.0218  2 Rh 2.36
10 Cl 0.7450 0.7500 0.5218  2 Rh 2.36
11 Cl 0.2450 0.7500 0.9782  2 Rh 2.36
12 Cl 0.2550 0.2500 0.4782  2 Rh 2.36

---

Entry 10:
Tm3TlC after structural relaxation. Source: Alexandria, functional PBE.

Properties
DFT formation energy: 8.17 eV/f.u.
DOS(E_F): 1.428 states/eV/cell
Offset from the most stable computed form: 2139.5 meV/atom

Cell lengths 5.5353, 5.5353, 5.5353 Å; angles 90.00, 90.00, 90.00 degrees
Last column: nearest neighbours and their distance in Å.
Fractional positions:
1 Tm 0.0000 0.5000 0.5000  2 Tl 2.77
2 Tm 0.5000 0.5000 0.0000  2 Tl 2.77
3 Tm 0.5000 0.0000 0.5000  2 Tl 2.77
4 Tl 0.5000 0.5000 0.5000  6 Tm 2.77
5 C 0.0000 0.0000 0.0000  12 Tm 3.91

---

Entry 11:
Mg2Zn6Ag after structural relaxation. Source: Alexandria, functional PBE.

Properties
DFT formation energy: -0.57 eV/f.u.
DOS(E_F): 2.218 states/eV/cell

Cell lengths 4.9415, 5.2794, 7.0630 Å; angles 90.00, 80.97, 57.71 degrees
Last column: nearest neighbours and their distance in Å.
Fractional positions:
1 Mg 0.6491 0.6754 0.0826  3 Ag 2.88-3.02, 7 Zn 2.90-3.11, 1 Mg 2.95
2 Mg 0.3509 0.3246 0.9174  3 Ag 2.88-3.02, 7 Zn 2.90-3.11, 1 Mg 2.95
3 Zn 0.9084 0.7895 0.6927  6 Zn 2.57-2.80, 1 Ag 2.65
4 Zn 0.4745 0.7627 0.5306  8 Zn 2.65-2.80
5 Zn 0.9084 0.3021 0.6927  6 Zn 2.57-2.80, 1 Ag 2.65
6 Zn 0.0916 0.2105 0.3073  6 Zn 2.57-2.80, 1 Ag 2.65
7 Zn 0.5255 0.2373 0.4694  8 Zn 2.65-2.80
8 Zn 0.0916 0.6979 0.3073  6 Zn 2.57-2.80, 1 Ag 2.65
9 Ag 0.0000 0.0000 0.0000  4 Zn 2.65, 2 Mg 2.88

---

Entry 12:
AgSb2Ru after structural relaxation. Source: Alexandria, functional PBE.

Properties
DOS(E_F): 1.802 states/eV/cell
E_form (uncorrected): 0.09 eV per atom

Cell lengths 7.0557, 7.0557, 7.0557 Å; angles 154.36, 145.43, 43.53 degrees
Last column: nearest neighbours and their distance in Å.
Fractional positions:
1 Ag 0.4368 0.4368 0.0000  6 Sb 2.94-3.06, 2 Ag 3.13, 2 Ru 3.18
2 Ru 0.2258 0.7258 0.5000  6 Sb 2.70-2.71
3 Sb 0.0580 0.0580 0.0000  2 Ru 2.70
4 Sb 0.7794 0.2794 0.5000  4 Ru 2.71, 2 Ag 2.94

---

Entry 13:
Sc3Zn2Si3 after structural relaxation. Source: Alexandria, functional PBE.

Properties
DOS(E_F): 9.735 states/eV/cell
E_form (uncorrected): -0.58 eV per atom

Cell lengths 4.0045, 5.4884, 13.4053 Å; angles 90.00, 90.00, 111.40 degrees
Last column: nearest neighbours and their distance in Å.
Fractional positions:
1 Sc 0.9306 0.8611 0.3840  6 Si 2.78-2.94, 3 Zn 2.94-2.98
2 Sc 0.0694 0.1389 0.8840  6 Si 2.78-2.94, 3 Zn 2.94-2.98
3 Sc 0.9306 0.8611 0.1160  6 Si 2.78-2.94, 3 Zn 2.94-2.98
4 Sc 0.0694 0.1389 0.6160  6 Si 2.78-2.94, 3 Zn 2.94-2.98
5 Sc 0.6422 0.2844 0.2500  5 Si 2.81-3.01, 4 Zn 2.97
6 Sc 0.3578 0.7156 0.7500  5 Si 2.81-3.01, 4 Zn 2.97
7 Zn 0.7784 0.5568 0.9018  4 Si 2.45-2.59
8 Zn 0.2216 0.4432 0.4018  4 Si 2.45-2.59
9 Zn 0.7784 0.5568 0.5982  4 Si 2.45-2.59
10 Zn 0.2216 0.4432 0.0982  4 Si 2.45-2.59
11 Si 0.6045 0.2090 0.4576  1 Si 2.42, 3 Zn 2.45-2.59
12 Si 0.3955 0.7910 0.9576  1 Si 2.42, 3 Zn 2.45-2.59
13 Si 0.6045 0.2090 0.0424  1 Si 2.42, 3 Zn 2.45-2.59
14 Si 0.3955 0.7910 0.5424  1 Si 2.42, 3 Zn 2.45-2.59
15 Si 0.3625 0.7249 0.2500  2 Zn 2.49, 4 Sc 2.78
16 Si 0.6375 0.2751 0.7500  2 Zn 2.49, 4 Sc 2.78

---

Entry 14:
NdAl4Cu6 after structural relaxation. Source: Alexandria, functional PBE.

Properties
DFT formation energy: -2.83 eV/f.u.
DOS(E_F): 3.841 states/eV/cell

Cell lengths 4.0933, 6.9242, 6.9242 Å; angles 120.00, 90.00, 90.00 degrees
Last column: nearest neighbours and their distance in Å.
Fractional positions:
1 Nd 0.0000 0.0000 0.0000  6 Al 3.14, 12 Cu 3.24-3.49
2 Al 0.5000 0.8015 0.6030  6 Cu 2.45-2.58
3 Al 0.5000 0.3970 0.1985  6 Cu 2.45-2.58
4 Al 0.5000 0.8015 0.1985  6 Cu 2.45-2.58
5 Al 0.0000 0.3333 0.6667  9 Cu 2.47-2.53
6 Cu 0.0000 0.5397 0.0793  5 Al 2.47-2.58, 2 Cu 2.64
7 Cu 0.5000 0.5801 0.7901  4 Al 2.45-2.53, 2 Cu 2.56
8 Cu 0.0000 0.5397 0.4603  5 Al 2.47-2.58, 2 Cu 2.64
9 Cu 0.0000 0.9207 0.4603  5 Al 2.47-2.58, 2 Cu 2.64
10 Cu 0.5000 0.2099 0.7901  4 Al 2.45-2.53, 2 Cu 2.56
11 Cu 0.5000 0.2099 0.4199  4 Al 2.45-2.53, 2 Cu 2.56

---

Entry 15:
Sr2TePtO6 after structural relaxation. Source: Alexandria, functional PBE.

Properties
E_form (uncorrected): -1.77 eV per atom

Cell lengths 5.0641, 5.4544, 6.1505 Å; angles 116.32, 106.77, 90.00 degrees
Last column: nearest neighbours and their distance in Å.
Fractional positions:
1 Sr 0.2193 0.2311 0.4621  5 O 2.47-2.60
2 Sr 0.7807 0.7689 0.5379  5 O 2.47-2.60
3 Te 0.0000 0.5000 0.0000  6 O 1.93-2.00
4 Pt 0.5000 0.0000 0.0000  4 O 2.04
5 O 0.2677 0.6703 0.3406  1 Te 1.93
6 O 0.1885 0.1717 0.8491  1 Te 2.00, 1 Pt 2.04
7 O 0.8115 0.3226 0.1509  1 Te 2.00, 1 Pt 2.04
8 O 0.1885 0.6774 0.8491  1 Te 2.00, 1 Pt 2.04
9 O 0.8115 0.8283 0.1509  1 Te 2.00, 1 Pt 2.04
10 O 0.7323 0.3297 0.6594  1 Te 1.93

---

Entry 16:
TbThAu2 after structural relaxation. Source: Alexandria, functional PBE.

Properties
DFT formation energy: -2.74 eV/f.u.
DOS(E_F): 3.861 states/eV/cell
Offset from the most stable computed form: 56.4 meV/atom

Cell lengths 5.1985, 5.1985, 5.1985 Å; angles 60.00, 60.00, 60.00 degrees
Last column: nearest neighbours and their distance in Å.
Fractional positions:
1 Tb 0.0000 0.0000 0.0000  8 Au 3.18
2 Au 0.2500 0.2500 0.2500  4 Tb 3.18, 4 Th 3.18
3 Au 0.7500 0.7500 0.7500  4 Th 3.18, 4 Tb 3.18
4 Th 0.5000 0.5000 0.5000  8 Au 3.18

---

Entry 17:
DyPuTe2N after structural relaxation. Source: Alexandria, functional PBE.

Properties
DOS(E_F): 12.817 states/eV/cell
E_form (uncorrected): -1.22 eV per atom

Cell lengths 4.0670, 4.0670, 15.9298 Å; angles 90.00, 90.00, 90.00 degrees
Last column: nearest neighbours and their distance in Å.
Fractional positions:
1 Dy 0.5000 0.0000 0.1383  5 Te 2.90-3.01
2 Dy 0.0000 0.5000 0.8617  5 Te 2.90-3.01
3 Pu 0.5000 0.0000 0.5655  4 N 2.29
4 Pu 0.0000 0.5000 0.4345  4 N 2.29
5 Te 0.0000 0.5000 0.6797  1 Dy 2.90
6 Te 0.0000 0.5000 0.0816  4 Dy 3.01
7 Te 0.5000 0.0000 0.9184  4 Dy 3.01
8 Te 0.5000 0.0000 0.3203  1 Dy 2.90
9 N 0.0000 0.0000 0.5000  4 Pu 2.29
10 N 0.5000 0.5000 0.5000  4 Pu 2.29

---

no.,volume (Å³ per cell),raw total energy (eV/atom)
1,106.4,-3.16
2,95.2,-4.58
3,1046.7,-4.52
4,298.5,-6.20
5,98.4,-4.29
6,44.7,-9.10
7,62.3,-7.28
8,165.5,-6.93
9,276.7,-4.39
10,169.6,-3.37
11,153.1,-1.58
12,86.0,-5.00
13,274.3,-5.30
14,170.0,-4.29
15,144.2,-6.00
16,99.3,-5.34
17,263.5,-7.93